Entry i
The following is a DFT calculation (GGA-PBEsol) of a geometry-optimized Al2RuRh structure.

The space group is I-4m2 (No. 119) and the conventional cell measures 3.586, 3.586 and 8.466 Å, with angles of 90.00, 90.00 and 90.00 degrees. Symmetry generates all atoms from Al at (0.000, 0.000, 0.000), Al at (0.000, 0.500, 0.250), Ru at (0.000, 0.500, 0.750) and Rh at (0.000, 0.000, 0.500).

Entry ii
The following is a DFT calculation (GGA-PBEsol) of a geometry-optimized Al2RuRh structure.

The space group is P2/m (No. 10) and the conventional cell measures 2.773, 3.934 and 5.076 Å, with angles of 90.00, 95.05 and 90.00 degrees. Symmetry generates all atoms from Al at (0.214, 0.000, 0.246), Ru at (0.500, 0.500, 0.000) and Rh at (0.000, 0.500, 0.500).

How far above the most stable structure does each one sit? In kJ/mol of atoms: entry i 0.0; entry ii 4.5.

Entry i
The following is a DFT calculation (GGA-PBEsol) of a geometry-optimized Al2RuRh structure.

The space group is P4/mmm (No. 123) and the conventional cell measures 4.194, 4.194 and 2.978 Å, with angles of 90.00, 90.00 and 90.00 degrees. Symmetry generates all atoms from Al at (0.000, 0.500, 0.000), Ru at (0.000, 0.000, 0.500) and Rh at (0.500, 0.500, 0.500).

Entry ii
The following is a DFT calculation (GGA-PBEsol) of a geometry-optimized Al2RuRh structure.

The space group is Fm-3m (No. 225) and the conventional cell measures 5.936, 5.936 and 5.936 Å, with angles of 90.00, 90.00 and 90.00 degrees. Symmetry generates all atoms from Al at (0.250, 0.250, 0.250), Ru at (0.000, 0.000, 0.000) and Rh at (0.000, 0.000, 0.500).

How far above the most stable structure does each one sit? In kJ/mol of atoms: entry i 0.6; entry ii 0.0.

Entry i
The following is a DFT calculation (GGA-PBEsol) of a geometry-optimized Al2TcRu structure.

The space group is R3m (No. 160, hexagonal axes) and the conventional cell measures 2.7846, 2.7846 and 25.6694 Å, with angles of 90.00, 90.00 and 120.00 degrees. Symmetry generates all atoms from Al at (0.0000, 0.0000, 0.0000), Al at (0.0000, 0.0000, 0.2423), Tc at (0.0000, 0.0000, 0.4926) and Ru at (0.0000, 0.0000, 0.7470).

Entry ii
The following is a DFT calculation (GGA-PBEsol) of a geometry-optimized Al2TcRu structure.

The space group is F-43m (No. 216) and the conventional cell measures 6.049, 6.049 and 6.049 Å, with angles of 90.00, 90.00 and 90.00 degrees. Symmetry generates all atoms from Al at (0.000, 0.000, 0.000), Al at (0.250, 0.250, 0.250), Tc at (0.000, 0.000, 0.500) and Ru at (0.250, 0.250, 0.750).

How far above the most stable structure does each one sit? In kJ/mol of atoms: entry i 0.0; entry ii 3.1.